w:
Here is crystalline Te2RuAu at its relaxed geometry from Alexandria via LeMat-Bulk. Energies are from GGA-PBE.

Lattice parameters (Å, degrees): 3.2004 3.3130 8.2861 90.00 91.80 90.00
With the nearest neighbours (Å) after each atom.
Positions (direct):
Te 0.0127 0.0000 0.2028  4 Ru 2.84-2.86, 2 Au 2.97
Te 0.9873 0.0000 0.7972  4 Ru 2.84-2.86, 2 Au 2.97
Ru 0.5000 0.5000 0.0000  8 Te 2.84-2.86
Au 0.0000 0.5000 0.5000  4 Te 2.97, 4 Au 3.20-3.31

***

x:
Here is crystalline Te2RuAu at its relaxed geometry from Alexandria via LeMat-Bulk. Energies are from GGA-PBE.

Lattice parameters (Å, degrees): 4.4539 5.0705 4.4930 90.00 108.70 90.00
With the nearest neighbours (Å) after each atom.
Positions (direct):
Te 0.0000 0.0000 0.0000  3 Au 2.69-2.78, 2 Ru 2.77
Te 0.4739 0.5000 0.5258  3 Ru 2.70-2.78, 2 Au 2.78
Ru 0.8451 0.5000 0.1552  5 Te 2.70-2.78, 2 Au 2.98
Au 0.6318 0.0000 0.3730  5 Te 2.69-2.78, 2 Ru 2.98

***

y:
Here is crystalline Te2RuAu at its relaxed geometry from Alexandria via LeMat-Bulk. Energies are from GGA-PBE.

Lattice parameters (Å, degrees): 6.1164 6.1164 12.1558 90.00 90.00 90.00
With the nearest neighbours (Å) after each atom.
Positions (direct):
Te 0.2205 0.2500 0.1250  2 Ru 2.54, 2 Au 2.75
Te 0.2500 0.7205 0.3750  2 Ru 2.54, 2 Au 2.75
Te 0.2500 0.7795 0.8750  2 Ru 2.54, 2 Au 2.75
Te 0.2795 0.2500 0.6250  2 Ru 2.54, 2 Au 2.75
Te 0.7205 0.7500 0.6250  2 Ru 2.54, 2 Au 2.75
Te 0.7500 0.2205 0.8750  2 Ru 2.54, 2 Au 2.75
Te 0.7500 0.2795 0.3750  2 Ru 2.54, 2 Au 2.75
Te 0.7795 0.7500 0.1250  2 Ru 2.54, 2 Au 2.75
Ru 0.0000 0.0000 0.0000  4 Te 2.54
Ru 0.0000 0.5000 0.2500  4 Te 2.54
Ru 0.5000 0.0000 0.7500  4 Te 2.54
Ru 0.5000 0.5000 0.5000  4 Te 2.54
Au 0.0000 0.0000 0.5000  4 Te 2.75
Au 0.0000 0.5000 0.7500  4 Te 2.75
Au 0.5000 0.0000 0.2500  4 Te 2.75
Au 0.5000 0.5000 0.0000  4 Te 2.75

***

Relative energies, in meV/atom, with the most stable structure set to zero: w 74; x 12; y 0.

***

w:
Here is crystalline TeRuAu3 at its relaxed geometry from Alexandria via LeMat-Bulk. Energies are from GGA-PBE.

Lattice parameters (Å, degrees): 5.1629 5.1629 5.1629 90.00 90.00 90.00
With the nearest neighbours (Å) after each atom.
Positions (direct):
Te 0.0000 0.0000 0.0000  6 Au 2.58
Ru 0.5000 0.5000 0.5000  12 Au 3.65
Au 0.0000 0.0000 0.5000  2 Te 2.58
Au 0.0000 0.5000 0.0000  2 Te 2.58
Au 0.5000 0.0000 0.0000  2 Te 2.58

***

x:
Here is crystalline TeRuAu3 at its relaxed geometry from Alexandria via LeMat-Bulk. Energies are from GGA-PBE.

Lattice parameters (Å, degrees): 5.0390 5.0390 5.0390 90.00 90.00 90.00
With the nearest neighbours (Å) after each atom.
Positions (direct):
Te 0.0000 0.0000 0.0000  12 Au 3.56
Ru 0.5000 0.5000 0.5000  6 Au 2.52
Au 0.0000 0.5000 0.5000  2 Ru 2.52
Au 0.5000 0.0000 0.5000  2 Ru 2.52
Au 0.5000 0.5000 0.0000  2 Ru 2.52

***

Relative energies, in meV/atom, with the most stable structure set to zero: w 269; x 0.